No. 1
DFT (PBE-GGA) results for an optimized crystal structure of Ti5Zn2Bi.

Computed properties:
D(E_F) in states/eV/cell: 23.322
ρ in g cm⁻³: 6.8
E_form in meV/atom: -72

Lattice parameters (Å, degrees): 7.6407 7.6407 7.6407 125.78 125.78 80.25
Element x y z (fractional)
Ti 0.0000 0.0000 0.0000
Ti 0.0012 0.5012 0.1970
Ti 0.1959 0.9988 0.5000
Ti 0.3041 0.8041 0.8030
Ti 0.4988 0.6959 0.5000
Ti 0.5000 0.5000 0.0000
Ti 0.5012 0.3041 0.5000
Ti 0.6959 0.1959 0.1970
Ti 0.8041 0.0012 0.5000
Ti 0.9988 0.4988 0.8030
Zn 0.1406 0.3594 0.5000
Zn 0.3594 0.8594 0.2188
Zn 0.6406 0.1406 0.7812
Zn 0.8594 0.6406 0.5000
Bi 0.2500 0.2500 0.0000
Bi 0.7500 0.7500 0.0000

***

No. 2
DFT (PBE-GGA) results for an optimized crystal structure of Ti6Zn2Bi.

Computed properties:
D(E_F) in states/eV/cell: 20.721
ρ in g cm⁻³: 6.6
E_form in meV/atom: -76

Lattice parameters (Å, degrees): 7.9249 7.9249 5.2420 97.36 97.36 100.96
Element x y z (fractional)
Ti 0.0518 0.4096 0.6874
Ti 0.1482 0.7578 0.9851
Ti 0.2288 0.4471 0.2004
Ti 0.2422 0.8518 0.5149
Ti 0.4096 0.0518 0.1874
Ti 0.4471 0.2288 0.7004
Ti 0.5529 0.7712 0.2996
Ti 0.5904 0.9482 0.8126
Ti 0.7578 0.1482 0.4851
Ti 0.7712 0.5529 0.7996
Ti 0.8518 0.2422 0.0149
Ti 0.9482 0.5904 0.3126
Zn 0.1166 0.1308 0.3665
Zn 0.1308 0.1166 0.8665
Zn 0.8692 0.8834 0.1335
Zn 0.8834 0.8692 0.6335
Bi 0.4063 0.5937 0.7500
Bi 0.5937 0.4063 0.2500